Compound: Rb2Nd2SnSe6
Source: Alexandria via LeMat-Bulk
Functional: PBE
Structure: optimized geometry

Summary:
Total magnetization = 0.00 μB per cell
ΔE_f (raw) = -1314 meV per atom
Total energy = -4.621 eV/atom
Space-group type = C2/m, No. 12

a b c (Å): 7.3065 7.3065 8.6323
angles (deg): 98.39 98.39 119.51
Last column: nearest neighbours and their distance in Å.
Positions (direct):
1 Nd 0.6683 0.3317 0.5000  6 Se 2.97-3.00
2 Nd 0.3317 0.6683 0.5000  6 Se 2.97-3.00
3 Rb 0.1710 0.8290 0.0000  6 Se 3.50-3.56
4 Rb 0.8290 0.1710 0.0000  6 Se 3.50-3.56
5 Se 0.7587 0.7587 0.6899  1 Sn 2.74, 2 Nd 3.00
6 Se 0.0681 0.3816 0.6945  1 Sn 2.80, 2 Nd 2.97-2.99
7 Se 0.9319 0.6184 0.3055  1 Sn 2.80, 2 Nd 2.97-2.99
8 Se 0.3816 0.0681 0.6945  1 Sn 2.80, 2 Nd 2.97-2.99
9 Se 0.2413 0.2413 0.3101  1 Sn 2.74, 2 Nd 3.00
10 Se 0.6184 0.9319 0.3055  1 Sn 2.80, 2 Nd 2.97-2.99
11 Sn 0.0000 0.0000 0.5000  6 Se 2.74-2.80

Compound: LaEuIr4
Source: Alexandria via LeMat-Bulk
Functional: PBE
Structure: optimized geometry

Summary:
Total magnetization = 6.35 μB per cell
Energy of formation = -3.614 eV per formula unit
Total energy = -9.043 eV/atom
Space-group type = F-43m, No. 216

a b c (Å): 5.4499 5.4499 5.4499
angles (deg): 60.00 60.00 60.00
Last column: nearest neighbours and their distance in Å.
Positions (direct):
1 La 0.0000 0.0000 0.0000  12 Ir 3.20, 4 Eu 3.34
2 Ir 0.6249 0.1253 0.6249  6 Ir 2.72-2.73
3 Ir 0.6249 0.6249 0.6249  6 Ir 2.72-2.73
4 Ir 0.6249 0.6249 0.1253  6 Ir 2.72-2.73
5 Ir 0.1253 0.6249 0.6249  6 Ir 2.72-2.73
6 Eu 0.2500 0.2500 0.2500  12 Ir 3.20, 4 La 3.34

Compound: La3ErSc
Source: Alexandria via LeMat-Bulk
Functional: PBE
Structure: optimized geometry

Summary:
Total magnetization = 0.00 μB per cell
Energy of formation = 1.023 eV per formula unit
Distance to the lowest polymorph of the same formula = 70 meV/atom
Total energy = -4.931 eV/atom
Space-group type = Pbcm, No. 57

a b c (Å): 5.7098 10.0997 11.9273
angles (deg): 90.00 90.00 90.00
Last column: nearest neighbours and their distance in Å.
Positions (direct):
1 La 0.2495 0.4359 0.9452  2 Sc 3.35-3.69, 6 La 3.39-3.75, 3 Er 3.42-3.45
2 La 0.7505 0.5641 0.0548  2 Sc 3.35-3.69, 6 La 3.39-3.75, 3 Er 3.42-3.45
3 La 0.2495 0.5641 0.5548  2 Sc 3.35-3.69, 6 La 3.39-3.75, 3 Er 3.42-3.45
4 La 0.2523 0.5000 0.2500  2 Er 3.40, 6 La 3.69-3.75
5 La 0.7477 0.0000 0.7500  2 Er 3.40, 6 La 3.69-3.75
6 La 0.7505 0.0641 0.4452  2 Sc 3.35-3.69, 6 La 3.39-3.75, 3 Er 3.42-3.45
7 La 0.2523 0.0000 0.2500  2 Er 3.40, 6 La 3.69-3.75
8 La 0.7505 0.9359 0.0548  2 Sc 3.35-3.69, 6 La 3.39-3.75, 3 Er 3.42-3.45
9 La 0.7505 0.4359 0.4452  2 Sc 3.35-3.69, 6 La 3.39-3.75, 3 Er 3.42-3.45
10 La 0.7477 0.5000 0.7500  2 Er 3.40, 6 La 3.69-3.75
11 La 0.2495 0.9359 0.5548  2 Sc 3.35-3.69, 6 La 3.39-3.75, 3 Er 3.42-3.45
12 La 0.2495 0.0641 0.9452  2 Sc 3.35-3.69, 6 La 3.39-3.75, 3 Er 3.42-3.45
13 Er 0.2504 0.2500 0.4405  1 Sc 3.24, 8 La 3.40-3.45
14 Er 0.2504 0.7500 0.0595  1 Sc 3.24, 8 La 3.40-3.45
15 Er 0.7496 0.2500 0.9405  1 Sc 3.24, 8 La 3.40-3.45
16 Er 0.7496 0.7500 0.5595  1 Sc 3.24, 8 La 3.40-3.45
17 Sc 0.2474 0.7500 0.7878  1 Er 3.24, 2 La 3.35
18 Sc 0.7526 0.2500 0.2122  1 Er 3.24, 2 La 3.35
19 Sc 0.2474 0.2500 0.7122  1 Er 3.24, 2 La 3.35
20 Sc 0.7526 0.7500 0.2878  1 Er 3.24, 2 La 3.35

Compound: CdIrRh2
Source: Alexandria via LeMat-Bulk
Functional: PBE
Structure: optimized geometry

Summary:
Total magnetization = 0.00 μB per cell
Energy of formation = -0.082 eV per formula unit
Total energy = -6.140 eV/atom
Space-group type = P4/mmm, No. 123

a b c (Å): 2.8017 2.8017 7.9300
angles (deg): 90.00 90.00 90.00
Last column: nearest neighbours and their distance in Å.
Positions (direct):
1 Ir 0.5000 0.5000 0.7500  8 Rh 2.69, 4 Ir 2.80
2 Rh 0.0000 0.0000 0.9788  4 Ir 2.69, 4 Rh 2.80, 4 Cd 2.92
3 Rh 0.0000 0.0000 0.5212  4 Ir 2.69, 4 Rh 2.80, 4 Cd 2.92
4 Cd 0.5000 0.5000 0.2500  4 Cd 2.80, 8 Rh 2.92

Compound: Zr2ScSe
Source: Alexandria via LeMat-Bulk
Functional: PBE
Structure: optimized geometry

Summary:
Total magnetization = 0.00 μB per cell
ΔE_f (raw) = -452 meV per atom
Total energy = -7.180 eV/atom
Space-group type = P4/mmm, No. 123

a b c (Å): 3.5084 3.5084 6.9361
angles (deg): 90.00 90.00 90.00
Last column: nearest neighbours and their distance in Å.
Positions (direct):
1 Se 0.5000 0.5000 0.7500  8 Zr 2.91
2 Sc 0.5000 0.5000 0.2500  8 Zr 3.16, 2 Se 3.47, 4 Sc 3.51
3 Zr 0.0000 0.0000 0.9680  4 Se 2.91, 1 Zr 3.02, 4 Sc 3.16
4 Zr 0.0000 0.0000 0.5320  4 Se 2.91, 1 Zr 3.02, 4 Sc 3.16

Compound: LaCO3
Source: Alexandria via LeMat-Bulk
Functional: PBE
Structure: optimized geometry

Summary:
Total magnetization = 0.00 μB per cell
ΔE_f (raw) = -1064 meV per atom
Total energy = -6.870 eV/atom
Space-group type = Pm-3m, No. 221

a b c (Å): 3.6648 3.6648 3.6648
angles (deg): 90.00 90.00 90.00
Last column: nearest neighbours and their distance in Å.
Positions (direct):
1 La 0.5000 0.5000 0.5000  12 O 2.59
2 C 0.0000 0.0000 0.0000  6 O 1.83
3 O 0.0000 0.0000 0.5000  2 C 1.83
4 O 0.0000 0.5000 0.0000  2 C 1.83
5 O 0.5000 0.0000 0.0000  2 C 1.83

Compound: Be2TlSn2
Source: Alexandria via LeMat-Bulk
Functional: PBE
Structure: optimized geometry

Summary:
Total magnetization = 0.00 μB per cell
Energy of formation = 1.864 eV per formula unit
Total energy = -3.192 eV/atom
Space-group type = I4/mmm, No. 139

a b c (Å): 4.3302 4.3302 6.5374
angles (deg): 70.66 70.66 90.00
Last column: nearest neighbours and their distance in Å.
Positions (direct):
1 Tl 0.0000 0.0000 0.0000  8 Sn 3.41, 8 Be 3.61
2 Sn 0.6302 0.6302 0.7396  4 Be 2.57
3 Sn 0.3698 0.3698 0.2604  4 Be 2.57
4 Be 0.7500 0.2500 0.5000  4 Sn 2.57
5 Be 0.2500 0.7500 0.5000  4 Sn 2.57

Compound: Y2AlPdBr
Source: Alexandria via LeMat-Bulk
Functional: PBE
Structure: optimized geometry

Summary:
Total magnetization = 0.00 μB per cell
ΔE_f (raw) = 329 meV per atom
Total energy = -4.378 eV/atom
Space-group type = P4/mmm, No. 123

a b c (Å): 5.5661 4.9539 5.5661
angles (deg): 90.00 90.00 90.00
Last column: nearest neighbours and their distance in Å.
Positions (direct):
1 Y 0.0000 0.0000 0.5000  2 Al 2.78
2 Y 0.5000 0.0000 0.0000  2 Al 2.78
3 Al 0.0000 0.0000 0.0000  2 Br 2.48
4 Br 0.0000 0.5000 0.0000  2 Al 2.48
5 Pd 0.5000 0.5000 0.5000  8 Y 3.73, 4 Br 3.94